Entry 1:
PrTm2Te3 | PBE-GGA | optimized geometry

Lattice parameters (Å, degrees): 4.3299 4.3299 10.9120 90.00 90.00 120.00
Sites, in units of the cell vectors:
Pr (0.0000, 0.0000, 0.0000)
Te (0.3333, 0.6667, 0.1845)
Te (0.0000, 0.0000, 0.5000)
Te (0.6667, 0.3333, 0.8155)
Tm (0.6667, 0.3333, 0.3396)
Tm (0.3333, 0.6667, 0.6604)

Properties
raw total energy = -5.12 eV/atom

=====

Entry 2:
PrTmTe | PBE-GGA | optimized geometry

Lattice parameters (Å, degrees): 5.1429 5.1429 5.1429 60.00 60.00 60.00
Sites, in units of the cell vectors:
Pr (0.2500, 0.2500, 0.2500)
Te (0.0000, 0.0000, 0.0000)
Tm (0.7500, 0.7500, 0.7500)

Properties
raw total energy = -4.63 eV/atom

=====

Entry 3:
PrTmTe3 | PBE-GGA | optimized geometry

Lattice parameters (Å, degrees): 7.3970 7.3970 10.7976 90.00 90.00 146.06
Sites, in units of the cell vectors:
Pr (0.7506, 0.2494, 0.2500)
Pr (0.2494, 0.7506, 0.7500)
Te (0.1453, 0.8547, 0.0616)
Te (0.4145, 0.5855, 0.2500)
Te (0.1453, 0.8547, 0.4384)
Te (0.8547, 0.1453, 0.5616)
Te (0.5855, 0.4145, 0.7500)
Te (0.8547, 0.1453, 0.9384)
Tm (0.5000, 0.5000, 0.0000)
Tm (0.5000, 0.5000, 0.5000)

Properties
raw total energy = -5.15 eV/atom

=====

Entry 4:
PrTmZnTe3 | PBE-GGA | optimized geometry

Lattice parameters (Å, degrees): 7.8316 7.8316 10.6474 90.00 90.00 148.79
Sites, in units of the cell vectors:
Pr (0.7229, 0.2771, 0.2500)
Pr (0.2771, 0.7229, 0.7500)
Te (0.1478, 0.8522, 0.0422)
Te (0.3905, 0.6095, 0.2500)
Te (0.1478, 0.8522, 0.4578)
Te (0.8522, 0.1478, 0.5422)
Te (0.6095, 0.3905, 0.7500)
Te (0.8522, 0.1478, 0.9578)
Tm (0.5000, 0.5000, 0.0000)
Tm (0.5000, 0.5000, 0.5000)
Zn (0.0260, 0.9740, 0.2500)
Zn (0.9740, 0.0260, 0.7500)

Properties
raw total energy = -4.29 eV/atom

=====

Entry 5:
PrUTe | PBE-GGA | optimized geometry

Lattice parameters (Å, degrees): 5.2019 5.2019 5.2019 60.00 60.00 60.00
Sites, in units of the cell vectors:
Pr (0.2500, 0.2500, 0.2500)
Te (0.0000, 0.0000, 0.0000)
U (0.7500, 0.7500, 0.7500)

Properties
raw total energy = -6.35 eV/atom

=====

Entry 6:
PrYTe | PBE-GGA | optimized geometry

Lattice parameters (Å, degrees): 5.1725 5.1725 5.1725 60.00 60.00 60.00
Sites, in units of the cell vectors:
Pr (0.2500, 0.2500, 0.2500)
Te (0.0000, 0.0000, 0.0000)
Y (0.7500, 0.7500, 0.7500)

Properties
raw total energy = -5.41 eV/atom

=====

Entry 7:
PrY2Te2 | PBE-GGA | optimized geometry

Lattice parameters (Å, degrees): 4.4633 4.4633 8.2332 105.73 105.73 90.00
Site moments in Bohr magnetons follow the coordinates.
Sites, in units of the cell vectors:
Pr (0.0000, 0.0000, 0.0000)  0.00
Te (0.6083, 0.6083, 0.2167)  0.00
Te (0.3917, 0.3917, 0.7833)  0.00
Y (0.7500, 0.2500, 0.5000)  0.13
Y (0.2500, 0.7500, 0.5000)  0.13

Properties
raw total energy = -5.61 eV/atom

=====

Entry 8:
PrZrTe | PBE-GGA | optimized geometry

Lattice parameters (Å, degrees): 5.0245 5.0245 5.0245 60.00 60.00 60.00
Sites, in units of the cell vectors:
Pr (0.2500, 0.2500, 0.2500)
Te (0.0000, 0.0000, 0.0000)
Zr (0.7500, 0.7500, 0.7500)

Properties
raw total energy = -5.81 eV/atom

=====

Entry 9:
PrZrTe | PBE-GGA | optimized geometry

Lattice parameters (Å, degrees): 5.2829 5.2829 5.2829 60.00 60.00 60.00
Site moments in Bohr magnetons follow the coordinates.
Sites, in units of the cell vectors:
Pr (0.0000, 0.0000, 0.0000)  0.55
Te (0.2500, 0.2500, 0.2500)  -0.02
Zr (0.7500, 0.7500, 0.7500)  1.60

Properties
raw total energy = -5.10 eV/atom

=====

Entry 10:
PrTh2 | PBE-GGA | optimized geometry

Lattice parameters (Å, degrees): 9.0320 9.0320 9.0320 60.00 60.00 60.00
Sites, in units of the cell vectors:
Pr (0.2500, 0.2500, 0.2500)
Pr (0.5000, 0.5000, 0.5000)
Th (0.3750, 0.8750, 0.3750)
Th (0.3750, 0.3750, 0.3750)
Th (0.8750, 0.3750, 0.3750)
Th (0.3750, 0.3750, 0.8750)

Properties
ΔH_f (0 K) = 58.06 kcal/mol of atoms
raw total energy = -4.02 eV/atom

=====

Entry 11:
PrThTl | PBE-GGA | optimized geometry

Lattice parameters (Å, degrees): 5.3203 5.3203 5.3203 60.00 60.00 60.00
Sites, in units of the cell vectors:
Pr (0.2500, 0.2500, 0.2500)
Th (0.7500, 0.7500, 0.7500)
Tl (0.0000, 0.0000, 0.0000)

Properties
raw total energy = -4.71 eV/atom

=====

Entry 12:
PrThW | PBE-GGA | optimized geometry

Lattice parameters (Å, degrees): 5.0009 5.0009 5.0009 60.00 60.00 60.00
Sites, in units of the cell vectors:
Pr (0.2500, 0.2500, 0.2500)
Th (0.7500, 0.7500, 0.7500)
W (0.0000, 0.0000, 0.0000)

Properties
ΔH_f (0 K) = 14.06 kcal/mol of atoms
raw total energy = -7.77 eV/atom

=====

Entry 13:
PrYTh | PBE-GGA | optimized geometry

Lattice parameters (Å, degrees): 5.4827 5.4827 5.4827 60.00 60.00 60.00
Sites, in units of the cell vectors:
Pr (0.2500, 0.2500, 0.2500)
Th (0.7500, 0.7500, 0.7500)
Y (0.0000, 0.0000, 0.0000)

Properties
ΔH_f (0 K) = 18.71 kcal/mol of atoms
raw total energy = -5.41 eV/atom

=====

Entry 14:
PrThZr | PBE-GGA | optimized geometry

Lattice parameters (Å, degrees): 5.1770 5.1770 5.1770 60.00 60.00 60.00
Sites, in units of the cell vectors:
Pr (0.0000, 0.0000, 0.0000)
Th (0.2500, 0.2500, 0.2500)
Zr (0.7500, 0.7500, 0.7500)

Properties
ΔH_f (0 K) = 22.12 kcal/mol of atoms
raw total energy = -5.95 eV/atom

=====

Entry 15:
PrTl | PBE-GGA | optimized geometry

Lattice parameters (Å, degrees): 3.6246 3.6245 5.4153 90.00 90.00 120.00
Sites, in units of the cell vectors:
Pr (0.6667, 0.3333, 0.7500)
Tl (0.3333, 0.6667, 0.2500)

Properties
raw total energy = -3.79 eV/atom

=====

Entry 16:
Pr3Tl4 | PBE-GGA | optimized geometry

Lattice parameters (Å, degrees): 8.7529 8.7529 8.7529 113.71 113.71 113.71
Sites, in units of the cell vectors:
Pr (0.4887, 0.2276, 0.1026)
Pr (0.1026, 0.4887, 0.2276)
Pr (0.2276, 0.1026, 0.4887)
Pr (0.7724, 0.8974, 0.5113)
Pr (0.8974, 0.5113, 0.7724)
Pr (0.5113, 0.7724, 0.8974)
Tl (0.0000, 0.0000, 0.0000)
Tl (0.7432, 0.5905, 0.0579)
Tl (0.4095, 0.9421, 0.2568)
Tl (0.9421, 0.2568, 0.4095)
Tl (0.5000, 0.5000, 0.5000)
Tl (0.0579, 0.7432, 0.5905)
Tl (0.5905, 0.0579, 0.7432)
Tl (0.2568, 0.4095, 0.9421)

Properties
raw total energy = -3.78 eV/atom

=====

Entry 17:
Pr5Tl3 | PBE-GGA | optimized geometry

Lattice parameters (Å, degrees): 6.2581 9.4842 9.4842 96.25 70.74 109.26
Site moments in Bohr magnetons follow the coordinates.
Sites, in units of the cell vectors:
Pr (0.7802, 0.6943, 0.1339)  0.03
Pr (0.5859, 0.3057, 0.1339)  0.03
Pr (0.2802, 0.8661, 0.3057)  0.03
Pr (0.9141, 0.1339, 0.3057)  0.03
Pr (0.2500, 0.5000, 0.5000)  0.13
Pr (0.7500, 0.5000, 0.5000)  0.13
Pr (0.7198, 0.1339, 0.6943)  0.03
Pr (0.0859, 0.8661, 0.6943)  0.03
Pr (0.2198, 0.3057, 0.8661)  0.03
Pr (0.4141, 0.6943, 0.8661)  0.03
Tl (0.2500, 0.0000, 0.0000)  0.00
Tl (0.7500, 0.0000, 0.0000)  0.00
Tl (0.1609, 0.5000, 0.1782)  0.00
Tl (0.3391, 0.1782, 0.5000)  0.00
Tl (0.6609, 0.8218, 0.5000)  0.00
Tl (0.8391, 0.5000, 0.8218)  0.00

Properties
raw total energy = -4.19 eV/atom

=====

Entry 18:
PrTl | PBE-GGA | optimized geometry

Lattice parameters (Å, degrees): 5.0194 5.0194 5.0194 60.00 60.00 60.00
Sites, in units of the cell vectors:
Pr (0.0000, 0.0000, 0.0000)
Tl (0.2500, 0.2500, 0.2500)

Properties
raw total energy = -3.04 eV/atom

=====

Entry 19:
PrTl | PBE-GGA | optimized geometry

Lattice parameters (Å, degrees): 3.9138 3.9138 3.9138 90.00 90.00 90.00
Sites, in units of the cell vectors:
Pr (0.0000, 0.0000, 0.0000)
Tl (0.5000, 0.5000, 0.5000)

Properties
raw total energy = -3.97 eV/atom

=====

Entry 20:
PrTmTl | PBE-GGA | optimized geometry

Lattice parameters (Å, degrees): 5.2378 5.2378 5.2378 60.00 60.00 60.00
Sites, in units of the cell vectors:
Pr (0.2500, 0.2500, 0.2500)
Tl (0.0000, 0.0000, 0.0000)
Tm (0.7500, 0.7500, 0.7500)

Properties
raw total energy = -3.90 eV/atom

=====

Entry 21:
Pr2UTl2 | PBE-GGA | optimized geometry

Lattice parameters (Å, degrees): 10.3529 10.3529 3.1975 90.00 90.00 90.00
Site moments in Bohr magnetons follow the coordinates.
Sites, in units of the cell vectors:
Pr (0.3096, 0.1907, 0.5000)  0.03
Pr (0.8093, 0.3096, 0.5000)  0.03
Pr (0.1907, 0.6904, 0.5000)  0.03
Pr (0.6904, 0.8093, 0.5000)  0.03
Tl (0.6057, 0.1056, 0.5000)  -0.02
Tl (0.1056, 0.3943, 0.5000)  -0.02
Tl (0.8944, 0.6057, 0.5000)  -0.02
Tl (0.3943, 0.8944, 0.5000)  -0.02
U (0.0000, 0.0000, 0.0000)  3.31
U (0.5000, 0.5000, 0.0000)  3.31

Properties
raw total energy = -4.49 eV/atom

=====

Entry 22:
PrUTl | PBE-GGA | optimized geometry

Lattice parameters (Å, degrees): 5.2767 5.2767 5.2767 60.00 60.00 60.00
Sites, in units of the cell vectors:
Pr (0.2500, 0.2500, 0.2500)
Tl (0.0000, 0.0000, 0.0000)
U (0.7500, 0.7500, 0.7500)

Properties
raw total energy = -5.45 eV/atom

=====

Entry 23:
PrYTl2 | PBE-GGA | optimized geometry

Lattice parameters (Å, degrees): 3.8465 3.8465 7.7151 90.00 90.00 90.00
Sites, in units of the cell vectors:
Pr (0.5000, 0.5000, 0.5000)
Tl (0.0000, 0.0000, 0.2366)
Tl (0.0000, 0.0000, 0.7634)
Y (0.5000, 0.5000, 0.0000)

Properties
raw total energy = -4.38 eV/atom

=====

Entry 24:
PrTm2 | PBE-GGA | optimized geometry

Lattice parameters (Å, degrees): 10.2487 10.2487 10.2487 60.00 60.00 60.00
Site moments in Bohr magnetons follow the coordinates.
Sites, in units of the cell vectors:
Pr (0.0000, 0.0000, 0.0000)  0.96
Pr (0.2500, 0.2500, 0.2500)  0.96
Tm (0.6250, 0.1250, 0.1250)  0.90
Tm (0.1250, 0.6250, 0.1250)  0.77
Tm (0.1250, 0.1250, 0.1250)  0.77
Tm (0.1250, 0.1250, 0.6250)  0.74

Properties
ΔH_f (0 K) = 56.16 kcal/mol of atoms
raw total energy = -2.14 eV/atom

=====

Entry 25:
PrTmU | PBE-GGA | optimized geometry

Lattice parameters (Å, degrees): 5.2716 5.2716 5.2716 60.00 60.00 60.00
Sites, in units of the cell vectors:
Pr (0.2500, 0.2500, 0.2500)
Tm (0.7500, 0.7500, 0.7500)
U (0.0000, 0.0000, 0.0000)

Properties
ΔH_f (0 K) = 29.01 kcal/mol of atoms
raw total energy = -5.59 eV/atom

=====

Entry 26:
PrTmZn6 | PBE-GGA | optimized geometry

Lattice parameters (Å, degrees): 4.7134 6.7025 4.7136 90.00 90.00 90.00
Sites, in units of the cell vectors:
Pr (0.0000, 0.0000, 0.2525)
Tm (0.5000, 0.5000, 0.7466)
Zn (0.5000, 0.2652, 0.2462)
Zn (0.5000, 0.7348, 0.2462)
Zn (0.0000, 0.5000, 0.2519)
Zn (0.5000, 0.0000, 0.7499)
Zn (0.0000, 0.2652, 0.7533)
Zn (0.0000, 0.7348, 0.7533)

Properties
ΔH_f (0 K) = -6.24 kcal/mol of atoms
raw total energy = -2.38 eV/atom

=====

Entry 27:
PrTmZn6 | PBE-GGA | optimized geometry

Lattice parameters (Å, degrees): 4.7168 4.7168 6.7052 90.00 90.00 90.00
Sites, in units of the cell vectors:
Pr (0.0000, 0.0000, 0.0000)
Tm (0.5000, 0.5000, 0.5000)
Zn (0.5000, 0.5000, 0.0000)
Zn (0.5000, 0.0000, 0.2652)
Zn (0.0000, 0.5000, 0.2652)
Zn (0.0000, 0.0000, 0.5000)
Zn (0.5000, 0.0000, 0.7348)
Zn (0.0000, 0.5000, 0.7348)

Properties
ΔH_f (0 K) = -6.25 kcal/mol of atoms
raw total energy = -2.38 eV/atom

=====

Entry 28:
PrU | PBE-GGA | optimized geometry

Lattice parameters (Å, degrees): 3.2720 3.2720 5.9508 90.00 90.00 120.00
Sites, in units of the cell vectors:
Pr (0.6667, 0.3333, 0.7500)
U (0.3333, 0.6667, 0.2500)

Properties
ΔH_f (0 K) = 14.17 kcal/mol of atoms
raw total energy = -7.42 eV/atom

=====

Entry 29:
PrU | PBE-GGA | optimized geometry

Lattice parameters (Å, degrees): 4.2691 4.2691 4.2691 60.00 60.00 60.00
Site moments in Bohr magnetons follow the coordinates.
Sites, in units of the cell vectors:
Pr (0.0000, 0.0000, 0.0000)  0.07
U (0.5000, 0.5000, 0.5000)  1.42

Properties
ΔH_f (0 K) = 30.80 kcal/mol of atoms
raw total energy = -6.70 eV/atom